A relaxed TbSc5Cd6 crystal, computed with PBE.

Cell and atoms, written as POSCAR:
```
TbSc5Cd6
1.0
4.8269 0.0134 -1.4222
-0.9911 6.3460 -3.3046
-0.0941 0.4282 8.7447
Sc Tb Cd
5 1 6
Cartesian
3.0136 1.1901 1.3814 Sc
1.2083 2.3935 4.2334 Sc
-0.4956 3.1730 -1.6523 Sc
2.5334 4.3940 -0.2155 Sc
0.7281 5.5975 2.6365 Sc
0.0000 0.0000 0.0000 Tb
3.3729 3.9169 2.6953 Cd
3.8516 0.8503 4.2920 Cd
1.6865 4.6622 -3.1352 Cd
2.0551 2.1254 7.1531 Cd
-0.1099 5.9373 -0.2741 Cd
0.3688 2.8706 1.3226 Cd
```

DOS(E_F): 12.17 states/eV per cell
total magnetization: 0.00 μB/cell
V: 22.88 A^3/atom
total DFT energy (no corrections): -3.770 eV/atom
E_form: -288.8 meV per atom